Record 1
Entry from the Alexandria database: crystalline SrLiRu2 at its relaxed geometry (GGA-PBE).

The structure belongs to space group Pmmm (No. 47); the cell edges are 3.795, 3.940 and 4.816 Å and the angles 90.00°, 90.00° and 90.00°. The asymmetric unit holds Sr at (0.000, 0.000, 0.000), Li at (0.500, 0.500, 0.000), Ru at (0.000, 0.500, 0.500) and Ru at (0.500, 0.000, 0.500).

As for the total energy: -19.7 eV/cell. As for the formation enthalpy at 0 K: 2.4 eV per formula unit. Its density of states at the Fermi level is 4.6 states/eV/f.u. As for the excess energy over the best structure of this formula in the dataset: 40.1 kJ/mol of atoms.

Record 2
Entry from the Alexandria database: crystalline SrLiRu2 at its relaxed geometry (GGA-PBE).

The structure belongs to space group R3m (No. 160, hexagonal axes); the cell edges are 4.2362, 4.2362 and 16.5503 Å and the angles 90.00°, 90.00° and 120.00°. The asymmetric unit holds Sr at (0.0000, 0.0000, 0.0000), Li at (0.0000, 0.0000, 0.7950), Ru at (0.0000, 0.0000, 0.1991) and Ru at (0.0000, 0.0000, 0.5183).

As for the total energy: -64.1 eV/cell. As for the formation enthalpy at 0 K: 0.8 eV per formula unit. Its density of states at the Fermi level is 2.5 states/eV/f.u. As for the excess energy over the best structure of this formula in the dataset: 0.0 kJ/mol of atoms.

Record 3
Entry from the Alexandria database: crystalline SrLiRu2 at its relaxed geometry (GGA-PBE).

The structure belongs to space group R3m (No. 160, hexagonal axes); the cell edges are 2.9567, 2.9567 and 29.7509 Å and the angles 90.00°, 90.00° and 120.00°. The asymmetric unit holds Sr at (0.0000, 0.0000, 0.0000), Li at (0.0000, 0.0000, 0.2273), Ru at (0.0000, 0.0000, 0.4878) and Ru at (0.0000, 0.0000, 0.7560).

As for the total energy: -57.3 eV/cell. As for the formation enthalpy at 0 K: 3.1 eV per formula unit. Its density of states at the Fermi level is 4.7 states/eV/f.u. As for the excess energy over the best structure of this formula in the dataset: 55.2 kJ/mol of atoms.

Record 4
Entry from the Alexandria database: crystalline Sr3LiRu at its relaxed geometry (GGA-PBE).

The structure belongs to space group Pm-3m (No. 221); the cell edges are 5.821, 5.821 and 5.821 Å and the angles 90.00°, 90.00° and 90.00°. The asymmetric unit holds Sr at (0.000, 0.000, 0.500), Li at (0.500, 0.500, 0.500) and Ru at (0.000, 0.000, 0.000).

As for the total energy: -14.9 eV/cell. As for the formation enthalpy at 0 K: 1.3 eV per formula unit. Its density of states at the Fermi level is 8.1 states/eV/f.u. As for the excess energy over the best structure of this formula in the dataset: 0.0 kJ/mol of atoms.

Record 5
Entry from the Alexandria database: crystalline SrLiRu2 at its relaxed geometry (GGA-PBE).

The structure belongs to space group C2/m (No. 12); the cell edges are 10.031, 2.954 and 4.858 Å and the angles 90.00°, 104.58° and 90.00°. The asymmetric unit holds Sr at (0.000, 0.000, 0.000), Li at (0.000, 0.500, 0.500) and Ru at (0.228, 0.000, 0.705).

As for the total energy: -39.8 eV/cell. As for the formation enthalpy at 0 K: 2.3 eV per formula unit. Its density of states at the Fermi level is 3.6 states/eV/f.u. As for the excess energy over the best structure of this formula in the dataset: 35.7 kJ/mol of atoms.

Record 6
Entry from the Alexandria database: crystalline Sr2LiRu2 at its relaxed geometry (GGA-PBE).

The structure belongs to space group P4/mbm (No. 127); the cell edges are 7.194, 7.194 and 4.768 Å and the angles 90.00°, 90.00° and 90.00°. The asymmetric unit holds Sr at (0.178, 0.322, 0.000), Li at (0.000, 0.000, 0.500) and Ru at (0.115, 0.615, 0.500).

As for the total energy: -43.2 eV/cell. As for the formation enthalpy at 0 K: 2.2 eV per formula unit. Its density of states at the Fermi level is 2.3 states/eV/f.u.

Record 7
Entry from the Alexandria database: crystalline SrLiRu2 at its relaxed geometry (GGA-PBE).

The structure belongs to space group Immm (No. 71); the cell edges are 3.005, 4.670 and 9.847 Å and the angles 90.00°, 90.00° and 90.00°. The asymmetric unit holds Sr at (0.000, 0.000, 0.000), Li at (0.000, 0.000, 0.500) and Ru at (0.000, 0.500, 0.230).

As for the total energy: -39.6 eV/cell. As for the formation enthalpy at 0 K: 2.3 eV per formula unit. Its density of states at the Fermi level is 4.7 states/eV/f.u. As for the excess energy over the best structure of this formula in the dataset: 37.8 kJ/mol of atoms.

Record 8
Entry from the Alexandria database: crystalline Sr2LiRu at its relaxed geometry (GGA-PBE).

The structure belongs to space group I-4m2 (No. 119); the cell edges are 4.633, 4.633 and 9.784 Å and the angles 90.00°, 90.00° and 90.00°. The asymmetric unit holds Sr at (0.000, 0.000, 0.000), Sr at (0.000, 0.500, 0.250), Li at (0.000, 0.500, 0.750) and Ru at (0.000, 0.000, 0.500).

As for the total energy: -25.1 eV/cell. As for the formation enthalpy at 0 K: 2.0 eV per formula unit. Its density of states at the Fermi level is 3.5 states/eV/f.u.

Record 9
Entry from the Alexandria database: crystalline Sr2LiRu at its relaxed geometry (GGA-PBE).

The structure belongs to space group P4mm (No. 99); the cell edges are 3.679, 3.679 and 8.293 Å and the angles 90.00°, 90.00° and 90.00°. The asymmetric unit holds Sr at (0.000, 0.000, 0.000), Sr at (0.500, 0.500, 0.429), Li at (0.000, 0.000, 0.668) and Ru at (0.500, 0.500, 0.769).

As for the total energy: -13.0 eV/cell. As for the formation enthalpy at 0 K: 1.5 eV per formula unit. Its density of states at the Fermi level is 5.4 states/eV/f.u.

Record 10
Entry from the Alexandria database: crystalline SrLiRu2 at its relaxed geometry (GGA-PBE).

The structure belongs to space group I-42d (No. 122); the cell edges are 4.527, 4.527 and 18.235 Å and the angles 90.00°, 90.00° and 90.00°. The asymmetric unit holds Sr at (0.000, 0.000, 0.000), Li at (0.000, 0.000, 0.500) and Ru at (0.054, 0.750, 0.625).

As for the total energy: -77.7 eV/cell. As for the formation enthalpy at 0 K: 2.7 eV per formula unit. Its density of states at the Fermi level is 5.1 states/eV/f.u. As for the excess energy over the best structure of this formula in the dataset: 46.9 kJ/mol of atoms.

Record 11
Entry from the Alexandria database: crystalline Sr2LiRu at its relaxed geometry (GGA-PBE).

The structure belongs to space group Cm (No. 8); the cell edges are 12.713, 3.668 and 5.344 Å and the angles 90.00°, 114.73° and 90.00°. The asymmetric unit holds Sr at (0.000, 0.000, 0.000), Sr at (0.199, 0.000, 0.698), Li at (0.376, 0.000, 0.375) and Ru at (0.213, 0.500, 0.212).

As for the total energy: -26.2 eV/cell. As for the formation enthalpy at 0 K: 1.5 eV per formula unit. Its density of states at the Fermi level is 3.4 states/eV/f.u.

Record 12
Entry from the Alexandria database: crystalline SrLiRu2 at its relaxed geometry (GGA-PBE).

The structure belongs to space group F-43m (No. 216); the cell edges are 6.574, 6.574 and 6.574 Å and the angles 90.00°, 90.00° and 90.00°. The asymmetric unit holds Sr at (0.000, 0.000, 0.000), Li at (0.250, 0.250, 0.750), Ru at (0.000, 0.000, 0.500) and Ru at (0.250, 0.250, 0.250).

As for the total energy: -79.6 eV/cell. As for the formation enthalpy at 0 K: 2.2 eV per formula unit. Its density of states at the Fermi level is 6.5 states/eV/f.u. As for the excess energy over the best structure of this formula in the dataset: 35.6 kJ/mol of atoms.